Record 1
Here is crystalline Pr6Y2Tm3Sc at its relaxed geometry from Alexandria via LeMat-Bulk. Energies are from GGA-PBE.

Unit cell a=6.255 b=6.255 c=11.753 alpha=95.09 beta=95.09 gamma=119.99
Sites, in units of the cell vectors:
1 Pr 0.083 0.413 0.750
2 Pr 0.247 0.247 0.250
3 Pr 0.413 0.083 0.750
4 Pr 0.587 0.917 0.250
5 Pr 0.753 0.753 0.750
6 Pr 0.917 0.587 0.250
7 Y 0.333 0.667 0.500
8 Y 0.667 0.333 0.500
9 Tm 0.167 0.833 0.000
10 Tm 0.500 0.500 0.000
11 Tm 0.833 0.167 0.000
12 Sc 0.000 0.000 0.500

Output
Space-group type: C2/m, No. 12
Uncorrected energy, eV per atom: -5.087
ΔH_f (0 K), eV per atom: 0.025

Record 2
Here is crystalline YMgTl2W at its relaxed geometry from Alexandria via LeMat-Bulk. Energies are from GGA-PBE.

Unit cell a=5.441 b=5.441 c=5.317 alpha=90.00 beta=90.00 gamma=90.00
Sites, in units of the cell vectors:
1 Y 0.000 0.000 0.000
2 Mg 0.500 0.500 0.000
3 Tl 0.000 0.500 0.500
4 Tl 0.500 0.000 0.500
5 W 0.000 0.000 0.500

Output
Space-group type: P4/mmm, No. 123
Uncorrected energy, eV per atom: -4.432
ΔH_f (0 K), eV per atom: 0.717

Record 3
Here is crystalline RbLa3Zr at its relaxed geometry from Alexandria via LeMat-Bulk. Energies are from GGA-PBE.

Unit cell a=5.649 b=5.649 c=5.649 alpha=90.00 beta=90.00 gamma=90.00
Sites, in units of the cell vectors:
1 Rb 0.000 0.000 0.000
2 La 0.000 0.000 0.500
3 La 0.000 0.500 0.000
4 La 0.500 0.000 0.000
5 Zr 0.500 0.500 0.500

Output
Space-group type: Pm-3m, No. 221
Uncorrected energy, eV per atom: -3.549
ΔH_f (0 K), eV per atom: 1.311
Offset from the most stable computed form, kJ/mol of formula units: 396

Record 4
Here is crystalline Nb6AlIn at its relaxed geometry from Alexandria via LeMat-Bulk. Energies are from GGA-PBE.

Unit cell a=5.272 b=5.274 c=5.276 alpha=90.79 beta=90.79 gamma=90.74
Sites, in units of the cell vectors:
1 Nb 0.001 0.011 0.243
2 Nb 0.244 0.501 0.514
3 Nb 0.487 0.256 0.000
4 Nb 0.513 0.744 0.000
5 Nb 0.756 0.499 0.486
6 Nb 0.999 0.989 0.757
7 Al 0.000 0.500 0.000
8 In 0.500 0.000 0.500

Output
Space-group type: P-1, No. 2
Uncorrected energy, eV per atom: -8.457
ΔH_f (0 K), eV per atom: -0.094

Respective total moment values: 0.000 0.000 0.013 0.000 μB/atom.
Respective V values: 392.0 157.4 180.3 146.6 Å³/cell.